[1]
# ZnIn2Ga6, optimized geometry, DFT PBE-GGA
data_ZnIn2Ga6
_chemical_formula_sum 'Zn1 In2 Ga6'
_cell_length_a 2.9925
_cell_length_b 7.7440
_cell_length_c 8.7665
_cell_angle_alpha 113.34
_cell_angle_beta 90.86
_cell_angle_gamma 96.94
_space_group_name_H-M_alt 'P 1'
_space_group_IT_number 1
loop_
_space_group_symop_operation_xyz
'x,y,z'
loop_
_atom_site_label
_atom_site_type_symbol
_atom_site_fract_x
_atom_site_fract_y
_atom_site_fract_z
Zn1 Zn 0.0000 0.0000 0.0000
In1 In 0.3716 0.6153 0.3614
In2 In 0.6284 0.3847 0.6386
Ga1 Ga 0.0025 0.0474 0.6705
Ga2 Ga 0.3603 0.6780 0.0243
Ga3 Ga 0.3885 0.7663 0.7315
Ga4 Ga 0.6115 0.2337 0.2685
Ga5 Ga 0.6397 0.3220 0.9757
Ga6 Ga 0.9975 0.9526 0.3295
# uncorrected energy: -2.725 eV/atom
# formation energy from the elements: 0.043 eV/atom

---

[2]
# Ca2MgPb3, optimized geometry, DFT PBE-GGA
data_Ca2MgPb3
_chemical_formula_sum 'Ca4 Mg2 Pb6'
_cell_length_a 8.8490
_cell_length_b 8.8490
_cell_length_c 7.4146
_cell_angle_alpha 90.00
_cell_angle_beta 90.00
_cell_angle_gamma 143.06
_space_group_name_H-M_alt 'P 1'
_space_group_IT_number 1
loop_
_space_group_symop_operation_xyz
'x,y,z'
loop_
_atom_site_label
_atom_site_type_symbol
_atom_site_fract_x
_atom_site_fract_y
_atom_site_fract_z
Ca1 Ca 0.0000 0.0000 0.0000
Ca2 Ca 0.0000 0.0000 0.5000
Ca3 Ca 0.3370 0.6630 0.0000
Ca4 Ca 0.6630 0.3370 0.0000
Mg1 Mg 0.3443 0.6557 0.5000
Mg2 Mg 0.6557 0.3443 0.5000
Pb1 Pb 0.1790 0.8210 0.2740
Pb2 Pb 0.1790 0.8210 0.7260
Pb3 Pb 0.5000 0.5000 0.2586
Pb4 Pb 0.5000 0.5000 0.7414
Pb5 Pb 0.8210 0.1790 0.2740
Pb6 Pb 0.8210 0.1790 0.7260
# uncorrected energy: -3.154 eV/atom
# formation energy from the elements: -0.367 eV/atom

---

[3]
# Mg5Cd2GaHg2, optimized geometry, DFT PBE-GGA
data_Mg5Cd2GaHg2
_chemical_formula_sum 'Mg10 Cd4 Ga2 Hg4'
_cell_length_a 11.6205
_cell_length_b 11.6205
_cell_length_c 3.3618
_cell_angle_alpha 90.00
_cell_angle_beta 90.00
_cell_angle_gamma 90.00
_space_group_name_H-M_alt 'P 1'
_space_group_IT_number 1
loop_
_space_group_symop_operation_xyz
'x,y,z'
loop_
_atom_site_label
_atom_site_type_symbol
_atom_site_fract_x
_atom_site_fract_y
_atom_site_fract_z
Mg1 Mg 0.0000 0.5000 0.0000
Mg2 Mg 0.0178 0.1967 0.0000
Mg3 Mg 0.1967 0.9822 0.0000
Mg4 Mg 0.3033 0.4822 0.0000
Mg5 Mg 0.4822 0.6967 0.0000
Mg6 Mg 0.5000 0.0000 0.0000
Mg7 Mg 0.5178 0.3033 0.0000
Mg8 Mg 0.6967 0.5178 0.0000
Mg9 Mg 0.8033 0.0178 0.0000
Mg10 Mg 0.9822 0.8033 0.0000
Cd1 Cd 0.1764 0.6764 0.5000
Cd2 Cd 0.3236 0.1764 0.5000
Cd3 Cd 0.6764 0.8236 0.5000
Cd4 Cd 0.8236 0.3236 0.5000
Ga1 Ga 0.0000 0.0000 0.5000
Ga2 Ga 0.5000 0.5000 0.5000
Hg1 Hg 0.1433 0.3567 0.5000
Hg2 Hg 0.3567 0.8567 0.5000
Hg3 Hg 0.6433 0.1433 0.5000
Hg4 Hg 0.8567 0.6433 0.5000
# uncorrected energy: -1.415 eV/atom
# formation energy from the elements: -0.071 eV/atom

---

[4]
# AcGeP, optimized geometry, DFT PBE-GGA
data_AcGeP
_chemical_formula_sum 'Ac1 Ge1 P1'
_cell_length_a 4.9339
_cell_length_b 4.9339
_cell_length_c 4.9339
_cell_angle_alpha 60.00
_cell_angle_beta 60.00
_cell_angle_gamma 60.00
_space_group_name_H-M_alt 'P 1'
_space_group_IT_number 1
loop_
_space_group_symop_operation_xyz
'x,y,z'
loop_
_atom_site_label
_atom_site_type_symbol
_atom_site_fract_x
_atom_site_fract_y
_atom_site_fract_z
Ac1 Ac 0.0000 0.0000 0.0000
Ge1 Ge 0.7500 0.7500 0.7500
P1 P 0.5000 0.5000 0.5000
# uncorrected energy: -4.864 eV/atom
# formation energy from the elements: -0.153 eV/atom
# excess energy over the best structure of this formula in the dataset: 55.3 kJ/mol of atoms